Entry 1
Computed, not measured: a relaxed structure of BC2 at the PBE-GGA level of DFT.

Structure (POSCAR):
```
BC2
1.0
6.958 -1.250 0.000
6.958 1.250 0.000
-1.360 0.000 4.397
B C
4 8
Direct
0.135 0.135 0.447 B
0.301 0.301 0.283 B
0.699 0.699 0.717 B
0.865 0.865 0.553 B
0.016 0.016 0.343 C
0.182 0.182 0.154 C
0.362 0.362 0.017 C
0.477 0.477 0.147 C
0.523 0.523 0.853 C
0.638 0.638 0.983 C
0.818 0.818 0.846 C
0.984 0.984 0.657 C
```

Entry 2
Computed, not measured: a relaxed structure of BC2 at the PBE-GGA level of DFT.

Structure (POSCAR):
```
BC2
1.0
5.770 -1.302 0.000
5.770 1.302 0.000
-1.189 0.000 5.179
B C
4 8
Direct
0.000 0.000 0.000 B
0.236 0.236 0.325 B
0.570 0.570 0.494 B
0.878 0.878 0.595 B
0.234 0.234 0.827 C
0.313 0.313 0.629 C
0.317 0.317 0.100 C
0.577 0.577 0.991 C
0.647 0.647 0.266 C
0.653 0.653 0.785 C
0.894 0.894 0.149 C
0.976 0.976 0.431 C
```

It is entry 1 that is the least stable of them.

Entry 1
Computed, not measured: a relaxed structure of KZrW2 at the PBE-GGA level of DFT.

Structure (POSCAR):
```
KZrW2
1.0
-1.978 1.978 5.076
1.978 -1.978 5.076
1.978 1.978 -5.076
K Zr W
1 1 2
Direct
0.000 0.000 0.000 K
0.500 0.500 0.000 Zr
0.250 0.750 0.500 W
0.750 0.250 0.500 W
```

Entry 2
Computed, not measured: a relaxed structure of KZrW2 at the PBE-GGA level of DFT.

Structure (POSCAR):
```
KZrW2
1.0
2.816 -5.291 0.000
2.816 5.291 0.000
0.000 0.000 2.695
K Zr W
1 1 2
Direct
0.000 0.000 0.000 K
0.500 0.500 0.000 Zr
0.000 0.500 0.500 W
0.500 0.000 0.500 W
```

It is entry 1 that is the least stable of them.

Entry 1
Computed, not measured: a relaxed structure of Sr2TlSb at the PBE-GGA level of DFT.

Structure (POSCAR):
```
Sr2TlSb
1.0
-2.216 2.564 6.111
2.216 -2.564 6.111
2.216 2.564 -6.111
Sr Tl Sb
2 1 1
Direct
0.000 0.000 0.000 Sr
0.733 0.233 0.500 Sr
0.454 0.454 0.000 Tl
0.258 0.758 0.500 Sb
```

Entry 2
Computed, not measured: a relaxed structure of Sr2TlSb at the PBE-GGA level of DFT.

Structure (POSCAR):
```
Sr2TlSb
1.0
-4.488 4.488 3.843
4.488 -4.488 3.843
4.488 4.488 -3.843
Sr Tl Sb
4 2 2
Direct
0.109 0.125 0.484 Sr
0.375 0.891 0.016 Sr
0.641 0.625 0.516 Sr
0.875 0.359 0.984 Sr
0.250 0.750 0.500 Tl
0.500 0.500 0.000 Tl
0.000 0.000 0.000 Sb
0.750 0.250 0.500 Sb
```

It is entry 2 that is the least stable of them.

Entry 1
Computed, not measured: a relaxed structure of Li2TaAg at the PBE-GGA level of DFT.

Structure (POSCAR):
```
Li2TaAg
1.0
4.829 0.000 0.000
0.000 4.829 0.000
0.000 0.000 2.759
Li Ta Ag
2 1 1
Direct
0.000 0.500 0.000 Li
0.500 0.000 0.000 Li
0.000 0.000 0.500 Ta
0.500 0.500 0.500 Ag
```

Entry 2
Computed, not measured: a relaxed structure of Li2TaAg at the PBE-GGA level of DFT.

Structure (POSCAR):
```
Li2TaAg
1.0
2.674 0.000 0.000
0.000 4.794 0.000
-0.232 0.000 5.277
Li Ta Ag
2 1 1
Direct
0.104 0.000 0.247 Li
0.896 0.000 0.753 Li
0.500 0.500 0.000 Ta
0.000 0.500 0.500 Ag
```

It is entry 1 that is the least stable of them.

Entry 1
Computed, not measured: a relaxed structure of CdP3 at the PBE-GGA level of DFT.

Structure (POSCAR):
```
CdP3
1.0
-1.506 3.542 3.738
1.506 -3.542 3.738
1.506 3.542 -3.738
Cd P
1 3
Direct
0.000 0.000 0.000 Cd
0.135 0.331 0.804 P
0.478 0.978 0.500 P
0.527 0.331 0.196 P
```

Entry 2
Computed, not measured: a relaxed structure of CdP3 at the PBE-GGA level of DFT.

Structure (POSCAR):
```
CdP3
1.0
4.051 -5.710 0.000
4.051 5.710 0.000
0.000 0.000 3.449
Cd P
2 6
Direct
0.106 0.894 0.750 Cd
0.894 0.106 0.250 Cd
0.285 0.440 0.750 P
0.302 0.698 0.250 P
0.440 0.285 0.250 P
0.560 0.715 0.750 P
0.698 0.302 0.750 P
0.715 0.560 0.250 P
```

It is entry 2 that is the least stable of them.

Entry 1
Computed, not measured: a relaxed structure of B5C7 at the PBE-GGA level of DFT.

Structure (POSCAR):
```
B5C7
1.0
2.493 0.000 0.000
0.000 2.493 0.000
0.000 0.000 12.567
B C
5 7
Direct
0.000 0.000 0.000 B
0.000 0.000 0.347 B
0.000 0.000 0.653 B
0.000 0.500 0.240 B
0.500 0.000 0.760 B
0.000 0.500 0.571 C
0.000 0.500 0.912 C
0.500 0.000 0.088 C
0.500 0.000 0.429 C
0.500 0.500 0.153 C
0.500 0.500 0.500 C
0.500 0.500 0.847 C
```

Entry 2
Computed, not measured: a relaxed structure of B5C7 at the PBE-GGA level of DFT.

Structure (POSCAR):
```
B5C7
1.0
4.796 0.000 0.000
0.000 2.524 0.000
-0.889 0.000 6.458
B C
5 7
Direct
0.000 0.000 0.000 B
0.033 0.000 0.734 B
0.231 0.500 0.609 B
0.363 0.000 0.023 B
0.672 0.000 0.389 B
0.180 0.500 0.364 C
0.313 0.000 0.282 C
0.538 0.500 0.953 C
0.547 0.500 0.718 C
0.689 0.000 0.646 C
0.827 0.500 0.067 C
0.856 0.500 0.295 C
```

It is entry 2 that is the least stable of them.

Entry 1
Computed, not measured: a relaxed structure of MoAuSe2 at the PBE-GGA level of DFT.

Structure (POSCAR):
```
MoAuSe2
1.0
2.977 0.000 0.000
0.000 2.977 0.000
0.000 0.000 9.448
Mo Au Se
1 1 2
Direct
0.000 0.000 0.000 Mo
0.500 0.500 0.791 Au
0.000 0.000 0.555 Se
0.500 0.500 0.163 Se
```

Entry 2
Computed, not measured: a relaxed structure of MoAuSe2 at the PBE-GGA level of DFT.

Structure (POSCAR):
```
MoAuSe2
1.0
3.257 -4.282 0.000
3.257 4.282 0.000
-0.021 0.000 2.744
Mo Au Se
1 1 2
Direct
0.000 0.000 0.000 Mo
0.500 0.500 0.000 Au
0.000 0.500 0.000 Se
0.500 0.000 0.000 Se
```

It is entry 2 that is the least stable of them.

Entry 1
Computed, not measured: a relaxed structure of AuC2 at the PBE-GGA level of DFT.

Structure (POSCAR):
```
AuC2
1.0
3.127 0.000 0.000
-0.035 4.119 0.000
-1.394 -2.042 4.305
Au C
1 2
Direct
0.000 0.000 0.000 Au
0.487 0.655 0.000 C
0.513 0.345 0.000 C
```

Entry 2
Computed, not measured: a relaxed structure of AuC2 at the PBE-GGA level of DFT.

Structure (POSCAR):
```
AuC2
1.0
2.635 -4.126 0.000
2.635 4.126 0.000
0.000 0.000 4.033
Au C
2 4
Direct
0.133 0.867 0.750 Au
0.867 0.133 0.250 Au
0.241 0.520 0.250 C
0.480 0.759 0.250 C
0.520 0.241 0.750 C
0.759 0.480 0.750 C
```

It is entry 2 that is the least stable of them.

Entry 1
Computed, not measured: a relaxed structure of SbP3 at the PBE-GGA level of DFT.

Structure (POSCAR):
```
SbP3
1.0
7.233 0.000 0.000
-3.616 6.264 0.000
0.000 0.000 6.664
Sb P
4 12
Direct
0.000 0.000 0.000 Sb
0.000 0.000 0.500 Sb
0.333 0.667 0.250 Sb
0.667 0.333 0.750 Sb
0.000 0.500 0.000 P
0.000 0.500 0.500 P
0.185 0.371 0.750 P
0.185 0.815 0.750 P
0.371 0.185 0.250 P
0.500 0.000 0.000 P
0.500 0.000 0.500 P
0.500 0.500 0.000 P
0.500 0.500 0.500 P
0.629 0.815 0.750 P
0.815 0.185 0.250 P
0.815 0.629 0.250 P
```

Entry 2
Computed, not measured: a relaxed structure of SbP3 at the PBE-GGA level of DFT.

Structure (POSCAR):
```
SbP3
1.0
5.253 0.000 0.000
0.000 5.253 0.000
0.000 0.000 5.253
Sb P
2 6
Direct
0.000 0.000 0.000 Sb
0.500 0.500 0.500 Sb
0.000 0.250 0.500 P
0.000 0.750 0.500 P
0.250 0.500 0.000 P
0.500 0.000 0.250 P
0.500 0.000 0.750 P
0.750 0.500 0.000 P
```

It is entry 2 that is the least stable of them.